(1)
Compound: La2AlIn
Source: the Alexandria database
Functional: PBE
Structure: optimized geometry

a = 8.6696 Å, b = 5.4951 Å, c = 3.8744 Å
α = 90.02°, β = 63.42°, γ = 129.06°
Last column: nearest neighbours and their distance in Å.
Sites, in units of the cell vectors:
1 In 0.5000 0.5000 0.0000  8 La 3.36-3.37
2 La 0.5000 0.0000 0.5000  4 In 3.36, 4 Al 3.36-3.37
3 Al 0.0000 0.5000 0.5000  8 La 3.36-3.37
4 La 0.0000 0.0000 0.0000  4 Al 3.36, 4 In 3.36-3.37

Computed properties:
Symmetry = Cmmm (65)

---

(2)
Compound: NaAlSi2S6
Source: the Alexandria database
Functional: PBE
Structure: optimized geometry

a = 6.5505 Å, b = 8.7521 Å, c = 8.7521 Å
α = 89.97°, β = 74.73°, γ = 74.73°
Last column: nearest neighbours and their distance in Å.
Sites, in units of the cell vectors:
1 Al 0.2500 0.2128 0.7872  4 S 2.26-2.32
2 S 0.0835 0.6086 0.1457  1 Si 2.14, 1 Al 2.26
3 S 0.1826 0.9654 0.8056  1 Si 2.13, 1 Al 2.32
4 Si 0.3127 0.7766 0.6233  4 S 2.13-2.20
5 S 0.0419 0.6916 0.5824  2 Si 2.15-2.20
6 S 0.5419 0.5824 0.6916  2 Si 2.15-2.20
7 S 0.8174 0.0346 0.1944  1 Si 2.13, 1 Al 2.32
8 S 0.6826 0.8056 0.9654  1 Si 2.13, 1 Al 2.32
9 Al 0.7500 0.7872 0.2128  4 S 2.26-2.32
10 S 0.4165 0.8543 0.3914  1 Si 2.14, 1 Al 2.26
11 Na 0.2500 0.8810 0.1190  6 S 2.70-2.96
12 Si 0.8127 0.6233 0.7766  4 S 2.13-2.20
13 S 0.3174 0.1944 0.0346  1 Si 2.13, 1 Al 2.32
14 Na 0.7500 0.1190 0.8810  6 S 2.70-2.96
15 S 0.4581 0.4176 0.3084  2 Si 2.15-2.20
16 Si 0.6873 0.2234 0.3767  4 S 2.13-2.20
17 S 0.9165 0.3914 0.8543  1 Si 2.14, 1 Al 2.26
18 S 0.5835 0.1457 0.6086  1 Si 2.14, 1 Al 2.26
19 S 0.9581 0.3084 0.4176  2 Si 2.15-2.20
20 Si 0.1873 0.3767 0.2234  4 S 2.13-2.20

Computed properties:
Symmetry = C2/c (15)
Formation energy from raw total energies = -753.3 meV/atom

---

(3)
Compound: Rb2IrSeI6
Source: the Alexandria database
Functional: PBE
Structure: optimized geometry

a = 8.2710 Å, b = 8.2710 Å, c = 8.1487 Å
α = 59.50°, β = 59.50°, γ = 90.00°
Last column: nearest neighbours and their distance in Å.
Sites, in units of the cell vectors:
1 I 0.7587 0.7587 0.4826  1 Ir 2.74, 1 Se 2.94
2 Se 0.5000 0.5000 0.0000  6 I 2.94-3.12
3 I 0.2331 0.7669 0.0000  1 Ir 2.73
4 Ir 0.0000 0.0000 0.0000  6 I 2.73-2.74
5 Rb 0.2500 0.7500 0.5000  12 I 4.08-4.14
6 I 0.7669 0.2331 0.0000  1 Ir 2.73
7 I 0.7669 0.7669 0.0000  1 Ir 2.73
8 Rb 0.7500 0.2500 0.5000  12 I 4.08-4.14
9 I 0.2331 0.2331 0.0000  1 Ir 2.73
10 I 0.2413 0.2413 0.5174  1 Ir 2.74, 1 Se 2.94

Computed properties:
Symmetry = I4/mmm (139)
Formation energy from raw total energies = -479.4 meV/atom

---

(4)
Compound: GeAuI6
Source: the Alexandria database
Functional: PBE
Structure: optimized geometry

a = 8.6651 Å, b = 6.4371 Å, c = 11.2525 Å
α = 66.08°, β = 43.27°, γ = 63.19°
Last column: nearest neighbours and their distance in Å.
Sites, in units of the cell vectors:
1 I 0.0685 0.4419 0.7425  1 Au 2.67
2 I 0.9315 0.5581 0.2575  1 Au 2.67
3 I 0.6555 0.0343 0.0130  1 Ge 2.79
4 I 0.4262 0.6996 0.7140  1 Au 2.72, 1 Ge 3.00
5 Ge 0.0000 0.0000 0.0000  6 I 2.79-3.03
6 I 0.5738 0.3004 0.2860  1 Au 2.72, 1 Ge 3.00
7 Au 0.5000 0.5000 0.5000  4 I 2.67-2.72
8 I 0.3445 0.9657 0.9870  1 Ge 2.79

Computed properties:
Symmetry = P-1 (2)
Formation energy from raw total energies = -81.1 meV/atom

---

(5)
Compound: PuPa2SnN5
Source: the Alexandria database
Functional: PBE
Structure: optimized geometry

a = 3.5467 Å, b = 7.7264 Å, c = 11.8181 Å
α = 90.00°, β = 90.00°, γ = 103.27°
Last column: nearest neighbours and their distance in Å.
Sites, in units of the cell vectors:
1 Sn 0.5064 0.0128 0.0154  3 N 2.19-2.31
2 Pu 0.7522 0.5043 0.4520  2 N 2.20-2.31
3 Pa 0.1401 0.2802 0.6867  6 N 2.23-2.41
4 Pa 0.8492 0.6984 0.7204  6 N 2.21-2.45
5 N 0.2813 0.5626 0.6059  3 Pa 2.33-2.45, 2 Pu 2.58
6 Pu 0.2478 0.4957 0.9520  2 N 2.20-2.31
7 Sn 0.4936 0.9872 0.5154  3 N 2.19-2.31
8 N 0.3682 0.7364 0.0733  1 Sn 2.19, 2 Pa 2.23, 1 Pu 2.31
9 N 0.7029 0.4058 0.7996  3 Pa 2.39-2.41, 2 Pu 2.62
10 N 0.6413 0.2826 0.3306  1 Pu 2.20, 2 Pa 2.21
11 N 0.0140 0.0280 0.1400  2 Pa 2.27-2.38, 2 Sn 2.31
12 N 0.9860 0.9720 0.6400  2 Pa 2.27-2.38, 2 Sn 2.31
13 N 0.7187 0.4374 0.1059  3 Pa 2.33-2.45, 2 Pu 2.58
14 Pa 0.8599 0.7198 0.1867  6 N 2.23-2.41
15 N 0.3587 0.7174 0.8306  1 Pu 2.20, 2 Pa 2.21
16 Pa 0.1508 0.3016 0.2204  6 N 2.21-2.45
17 N 0.6318 0.2636 0.5733  1 Sn 2.19, 2 Pa 2.23, 1 Pu 2.31
18 N 0.2971 0.5942 0.2996  3 Pa 2.39-2.41, 2 Pu 2.62

Computed properties:
Symmetry = Cmc2_1 (36)
Formation energy from raw total energies = -1052.1 meV/atom

---

(6)
Compound: YHo3Sb2
Source: the Alexandria database
Functional: PBE
Structure: optimized geometry

a = 4.2872 Å, b = 10.4754 Å, c = 9.7133 Å
α = 125.20°, β = 90.00°, γ = 101.81°
Last column: nearest neighbours and their distance in Å.
Sites, in units of the cell vectors:
1 Sb 0.7502 0.5004 0.2210  7 Ho 3.18-3.46, 2 Y 3.22
2 Y 0.8904 0.7809 0.8962  6 Sb 3.17-3.31
3 Ho 0.0559 0.1119 0.4369  3 Sb 3.03-3.36, 3 Ho 3.17-3.27
4 Ho 0.3118 0.6237 0.5160  3 Sb 3.09-3.18, 4 Ho 3.19-3.27
5 Ho 0.6882 0.3763 0.4840  3 Sb 3.09-3.18, 4 Ho 3.19-3.27
6 Sb 0.4909 0.9819 0.8269  4 Ho 3.03-3.23, 1 Sb 3.16, 4 Y 3.17-3.31
7 Sb 0.5091 0.0181 0.1731  4 Ho 3.03-3.23, 1 Sb 3.16, 4 Y 3.17-3.31
8 Ho 0.9441 0.8881 0.5631  3 Sb 3.03-3.36, 3 Ho 3.17-3.27
9 Ho 0.3559 0.7118 0.1887  4 Sb 3.19-3.23
10 Y 0.1096 0.2191 0.1038  6 Sb 3.17-3.31
11 Sb 0.2498 0.4996 0.7790  7 Ho 3.18-3.46, 2 Y 3.22
12 Ho 0.6441 0.2882 0.8113  4 Sb 3.19-3.23

Computed properties:
Symmetry = C2/m (12)
Formation energy from raw total energies = -680.0 meV/atom

---

(7)
Compound: Be3GeI
Source: the Alexandria database
Functional: PBE
Structure: optimized geometry

a = 4.5221 Å, b = 4.5221 Å, c = 4.5221 Å
α = 90.00°, β = 90.00°, γ = 90.00°
Last column: nearest neighbours and their distance in Å.
Sites, in units of the cell vectors:
1 I 0.5000 0.5000 0.5000  12 Be 3.20
2 Ge 0.0000 0.0000 0.0000  6 Be 2.26
3 Be 0.0000 0.0000 0.5000  2 Ge 2.26
4 Be 0.5000 0.0000 0.0000  2 Ge 2.26
5 Be 0.0000 0.5000 0.0000  2 Ge 2.26

Computed properties:
Symmetry = Pm-3m (221)
Formation energy from raw total energies = 766.2 meV/atom

---

(8)
Compound: Pm5Dy4Er
Source: the Alexandria database
Functional: PBE
Structure: optimized geometry

a = 3.5885 Å, b = 10.4391 Å, c = 9.2594 Å
α = 83.95°, β = 101.17°, γ = 90.00°
Last column: nearest neighbours and their distance in Å.
Sites, in units of the cell vectors:
1 Pm 0.1888 0.4039 0.3777  1 Dy 3.29, 4 Pm 3.59-3.63
2 Dy 0.6824 0.0871 0.3647  6 Dy 3.33-3.59, 1 Er 3.53, 1 Pm 3.66
3 Dy 0.0449 0.2372 0.0898  2 Er 3.23, 4 Pm 3.29-3.41, 4 Dy 3.33-3.59
4 Dy 0.3176 0.9129 0.6353  6 Dy 3.33-3.59, 1 Er 3.53, 1 Pm 3.66
5 Pm 0.8577 0.2301 0.7153  2 Dy 3.41-3.66, 2 Pm 3.59, 2 Er 3.79
6 Pm 0.1423 0.7699 0.2847  2 Dy 3.41-3.66, 2 Pm 3.59, 2 Er 3.79
7 Pm 0.8112 0.5961 0.6223  1 Dy 3.29, 4 Pm 3.59-3.63
8 Pm 0.5000 0.5000 0.0000  4 Dy 3.31, 2 Pm 3.59
9 Er 0.5000 0.0000 0.0000  6 Dy 3.23-3.53, 2 Er 3.59
10 Dy 0.9551 0.7628 0.9102  2 Er 3.23, 4 Pm 3.29-3.41, 4 Dy 3.33-3.59

Computed properties:
Symmetry = C2/m (12)

---

Number 1: DFT total energy -18.020 eV for the cell shown, spin magnetization 0.000 μB/cell, D(E_F) 1.90 states/eV per cell. Number 2: DFT total energy -96.411 eV for the cell shown, spin magnetization 0.000 μB/cell, D(E_F) 0.00 states/eV per cell. Number 3: DFT total energy -28.376 eV for the cell shown, spin magnetization 0.010 μB/cell, D(E_F) 7.31 states/eV per cell. Number 4: DFT total energy -17.844 eV for the cell shown, spin magnetization 0.000 μB/cell, D(E_F) 2.39 states/eV per cell. Number 5: DFT total energy -176.844 eV for the cell shown, spin magnetization 10.000 μB/cell, D(E_F) 21.63 states/eV per cell. Number 6: DFT total energy -65.045 eV for the cell shown, spin magnetization 0.017 μB/cell, D(E_F) 12.76 states/eV per cell. Number 7: DFT total energy -13.515 eV for the cell shown, spin magnetization 0.000 μB/cell, D(E_F) 2.45 states/eV per cell. Number 8: DFT total energy -45.250 eV for the cell shown, spin magnetization 0.000 μB/cell, D(E_F) 14.72 states/eV per cell.